{
  "formula": "LiLa2Mn",
  "functional": "PBE-GGA",
  "state": "relaxed",
  "formation_energy_ev_per_atom": 0.296,
  "lattice_angstrom": [[5.807, -0.142, 0.000], [2.253, 5.354, 0.000], [-4.030, -2.606, 3.272]],
  "species": ["Mn", "La", "La", "Li"],
  "fractional_positions": [[0.750, 0.250, 0.500], [0.000, 0.000, 0.000], [0.250, 0.750, 0.500], [0.500, 0.500, 0.000]]
}

{
  "formula": "LiLa2Mn",
  "functional": "PBE-GGA",
  "state": "relaxed",
  "formation_energy_ev_per_atom": 0.259,
  "lattice_angstrom": [[3.537, 0.741, 0.000], [-0.742, 3.537, 0.000], [0.000, 0.000, 8.111]],
  "species": ["Mn", "La", "La", "Li"],
  "fractional_positions": [[0.500, 0.500, 0.703], [0.000, 0.000, 0.948], [0.500, 0.500, 0.292], [0.000, 0.000, 0.558]]
}

{
  "formula": "Li2LaMnN4",
  "functional": "PBE-GGA",
  "state": "relaxed",
  "formation_energy_uncorrected_mev_per_atom": -629.0,
  "lattice_angstrom": [[-1.747, -3.431, 3.815], [-2.064, -4.456, -1.102], [3.114, -2.991, 2.586]],
  "species": ["N", "N", "N", "N", "Mn", "La", "Li", "Li"],
  "fractional_positions": [[0.640, 0.526, 0.835], [0.000, 0.474, 0.165], [0.360, 0.165, 0.474], [0.000, 0.835, 0.526], [0.000, 0.500, 0.500], [0.000, 0.000, 0.000], [0.500, 0.250, 0.750], [0.500, 0.750, 0.250]]
}

{
  "formula": "LiLa2MnN",
  "functional": "PBE-GGA",
  "state": "relaxed",
  "formation_energy_uncorrected_mev_per_atom": -446.5,
  "lattice_angstrom": [[-2.123, 3.448, -3.381], [-2.187, -2.645, -1.324], [-3.672, 1.246, 3.576]],
  "species": ["N", "Li", "La", "La", "Mn"],
  "fractional_positions": [[0.000, 0.000, 0.000], [0.500, 0.500, 0.500], [0.000, 0.000, 0.500], [0.500, 0.000, 0.000], [0.000, 0.500, 0.000]]
}

{
  "formula": "LiLa3Mn2N6",
  "functional": "PBE-GGA",
  "state": "relaxed",
  "formation_energy_uncorrected_mev_per_atom": -788.4,
  "lattice_angstrom": [[5.695, 0.000, 0.000], [-2.848, 4.932, 0.000], [0.000, 0.000, 6.488]],
  "species": ["Li", "N", "N", "N", "N", "N", "N", "Mn", "Mn", "La", "La", "La"],
  "fractional_positions": [[0.000, 0.000, 0.500], [0.831, 0.169, 0.712], [0.169, 0.831, 0.288], [0.169, 0.339, 0.288], [0.661, 0.831, 0.288], [0.831, 0.661, 0.712], [0.339, 0.169, 0.712], [0.667, 0.333, 0.786], [0.333, 0.667, 0.214], [0.333, 0.667, 0.668], [0.667, 0.333, 0.332], [0.000, 0.000, 0.000]]
}

| no. | E (eV/atom) | D(E_F) (states/eV per atom) |
| --- | --- | --- |
| 1 | -4.939 | 1.3504 |
| 2 | -4.975 | 1.2025 |
| 3 | -7.032 | 0.0155 |
| 4 | -6.299 | 0.7061 |
| 5 | -7.871 | 0.3881 |